! VZnCoTc PBE optimized geometry; values from VASP
! Uncorrected energy, eV per atom: -7.01
! DFT formation energy, eV/atom: -0.04
! DOS at the Fermi energy, states/eV/atom: 1.1524
&SYSTEM
  ibrav = 0, nat = 4, ntyp = 4
/
ATOMIC_SPECIES
Co 58.93 Co.upf
V 50.94 V.upf
Zn 65.41 Zn.upf
Tc 98.00 Tc.upf
CELL_PARAMETERS angstrom
-3.2901 0.8688 -2.4401
0.2426 -0.6070 -4.1359
-2.1584 -3.1099 -1.7898
ATOMIC_POSITIONS angstrom
Co -2.6029 -1.4241 -4.1829
V -3.9044 -2.1361 -6.2744
Zn -1.3015 -0.7120 -2.0915
Tc 0.0000 0.0000 0.0000